{
  "formula": "MgGe3Ir",
  "functional": "PBE",
  "state": "relaxed",
  "formation_enthalpy_0k_ev_per_atom": 0.286,
  "total_energy_ev_per_fu": -22.88,
  "n_ef_per_ev_fu": 4.4,
  "space_group": "Pm-3m",
  "lattice": [[-0.7487, 3.8964, -2.8024], [2.7891, -1.9550, -3.4634], [-3.9059, -2.1429, -1.9359]],
  "species": ["Ge", "Ge", "Ge", "Ir", "Mg"],
  "fractional_positions": [[0.0000, 0.5000, 0.0000], [0.5000, 0.0000, 0.0000], [0.0000, 0.0000, 0.5000], [0.0000, 0.0000, 0.0000], [0.5000, 0.5000, 0.5000]]
}